(1)
Cd2Ga2Ru: relaxed, PBE.

a b c (Å): 6.6903 6.6903 4.1209
angles (deg): 90.00 90.00 90.00
With the nearest neighbours (Å) after each atom.
Fractional coordinates of all 10 atoms:
1 Cd 0.1642 0.6642 0.5000  6 Ga 2.73-2.93
2 Cd 0.6642 0.8358 0.5000  6 Ga 2.73-2.93
3 Cd 0.3358 0.1642 0.5000  6 Ga 2.73-2.93
4 Cd 0.8358 0.3358 0.5000  6 Ga 2.73-2.93
5 Ga 0.8532 0.6468 0.0000  2 Ru 2.56, 2 Cd 2.73, 1 Ga 2.78
6 Ga 0.3532 0.8532 0.0000  2 Ru 2.56, 2 Cd 2.73, 1 Ga 2.78
7 Ga 0.1468 0.3532 0.0000  2 Ru 2.56, 2 Cd 2.73, 1 Ga 2.78
8 Ga 0.6468 0.1468 0.0000  2 Ru 2.56, 2 Cd 2.73, 1 Ga 2.78
9 Ru 0.0000 0.0000 0.0000  4 Ga 2.56
10 Ru 0.5000 0.5000 0.0000  4 Ga 2.56

Calculated values
DFT formation energy, meV/atom: 172
ΔE to the lowest computed polymorph, kcal/mol of atoms: 0.00
Density of states at the Fermi level, states/eV per cell: 6.98

(2)
Cd2Ga2Ru: relaxed, PBE.

a b c (Å): 3.5997 3.5997 7.9793
angles (deg): 76.96 76.96 90.00
With the nearest neighbours (Å) after each atom.
Fractional coordinates of all 5 atoms:
1 Ga 0.2500 0.7500 0.5000  4 Ga 2.55
2 Ga 0.7500 0.2500 0.5000  4 Ga 2.55
3 Cd 0.4076 0.4076 0.1849  1 Cd 2.80, 4 Ru 2.90, 4 Ga 2.99
4 Cd 0.5924 0.5924 0.8151  1 Cd 2.80, 4 Ru 2.90, 4 Ga 2.99
5 Ru 0.0000 0.0000 0.0000  8 Cd 2.90

Calculated values
DFT formation energy, meV/atom: 429
ΔE to the lowest computed polymorph, kcal/mol of atoms: 5.93
Density of states at the Fermi level, states/eV per cell: 4.46

(3)
Cd3GaRu: relaxed, PBE.

a b c (Å): 4.9627 4.9627 4.9627
angles (deg): 90.00 90.00 90.00
With the nearest neighbours (Å) after each atom.
Fractional coordinates of all 5 atoms:
1 Ru 0.5000 0.5000 0.5000  12 Cd 3.51
2 Cd 0.0000 0.5000 0.0000  2 Ga 2.48
3 Cd 0.5000 0.0000 0.0000  2 Ga 2.48
4 Cd 0.0000 0.0000 0.5000  2 Ga 2.48
5 Ga 0.0000 0.0000 0.0000  6 Cd 2.48

Calculated values
DFT formation energy, meV/atom: 1032
ΔE to the lowest computed polymorph, kcal/mol of atoms: 10.66
Density of states at the Fermi level, states/eV per cell: 4.37

(4)
CdGaRu: relaxed, PBE.

a b c (Å): 2.9639 4.1480 8.9729
angles (deg): 90.00 99.51 90.00
With the nearest neighbours (Å) after each atom.
Fractional coordinates of all 6 atoms:
1 Ga 0.9338 0.7500 0.8676  6 Ru 2.55-2.68
2 Ga 0.0662 0.2500 0.1324  6 Ru 2.55-2.68
3 Cd 0.8030 0.2500 0.6060  2 Ru 2.84, 6 Cd 2.96-3.17, 2 Ga 3.11
4 Cd 0.1970 0.7500 0.3940  2 Ru 2.84, 6 Cd 2.96-3.17, 2 Ga 3.11
5 Ru 0.4397 0.2500 0.8795  6 Ga 2.55-2.68, 2 Cd 2.84
6 Ru 0.5603 0.7500 0.1205  6 Ga 2.55-2.68, 2 Cd 2.84

Calculated values
DFT formation energy, meV/atom: -78
Density of states at the Fermi level, states/eV per cell: 5.97

(5)
Cd2Ga2Ru: relaxed, PBE.

a b c (Å): 7.2937 7.2937 3.5512
angles (deg): 90.00 90.00 90.00
With the nearest neighbours (Å) after each atom.
Fractional coordinates of all 10 atoms:
1 Ru 0.5000 0.5000 0.0000  4 Cd 2.83
2 Ru 0.0000 0.0000 0.0000  4 Cd 2.83
3 Cd 0.6371 0.1371 0.0000  6 Ga 2.66-2.87, 1 Cd 2.83, 2 Ru 2.83
4 Cd 0.1371 0.3629 0.0000  6 Ga 2.66-2.87, 1 Cd 2.83, 2 Ru 2.83
5 Cd 0.8629 0.6371 0.0000  6 Ga 2.66-2.87, 1 Cd 2.83, 2 Ru 2.83
6 Cd 0.3629 0.8629 0.0000  6 Ga 2.66-2.87, 1 Cd 2.83, 2 Ru 2.83
7 Ga 0.6708 0.8292 0.5000  6 Cd 2.66-2.87
8 Ga 0.1708 0.6708 0.5000  6 Cd 2.66-2.87
9 Ga 0.8292 0.3292 0.5000  6 Cd 2.66-2.87
10 Ga 0.3292 0.1708 0.5000  6 Cd 2.66-2.87

Calculated values
DFT formation energy, meV/atom: 493
ΔE to the lowest computed polymorph, kcal/mol of atoms: 7.40
Density of states at the Fermi level, states/eV per cell: 7.33

(6)
CdGa2Ru2: relaxed, PBE.

a b c (Å): 7.1745 7.1745 3.1004
angles (deg): 90.00 90.00 90.00
With the nearest neighbours (Å) after each atom.
Fractional coordinates of all 10 atoms:
1 Ru 0.8420 0.3420 0.5000  6 Ga 2.61-2.62
2 Ru 0.1580 0.6580 0.5000  6 Ga 2.61-2.62
3 Ru 0.3420 0.1580 0.5000  6 Ga 2.61-2.62
4 Ru 0.6580 0.8420 0.5000  6 Ga 2.61-2.62
5 Cd 0.5000 0.5000 0.0000  4 Ga 2.79, 2 Cd 3.10, 8 Ru 3.12
6 Cd 0.0000 0.0000 0.0000  4 Ga 2.79, 2 Cd 3.10, 8 Ru 3.12
7 Ga 0.6353 0.1353 0.0000  6 Ru 2.61-2.62, 1 Ga 2.75, 2 Cd 2.79
8 Ga 0.8647 0.6353 0.0000  6 Ru 2.61-2.62, 1 Ga 2.75, 2 Cd 2.79
9 Ga 0.1353 0.3647 0.0000  6 Ru 2.61-2.62, 1 Ga 2.75, 2 Cd 2.79
10 Ga 0.3647 0.8647 0.0000  6 Ru 2.61-2.62, 1 Ga 2.75, 2 Cd 2.79

Calculated values
DFT formation energy, meV/atom: -119
ΔE to the lowest computed polymorph, kcal/mol of atoms: 0.32
Density of states at the Fermi level, states/eV per cell: 5.71

Number 3 is which compound?
Cd3GaRu